ZnCuRh after structural relaxation. Source: the Alexandria database, functional PBE-GGA.

a b c (Å): 6.754 6.526 2.667
angles (deg): 83.25 73.67 23.09
Fractional coordinates of all 3 atoms:
Zn (0.000, 0.000, 0.000)
Cu (0.337, 0.337, 0.663)
Rh (0.667, 0.667, 0.333)

Computed properties:
Space-group type: Fmm2
Spin magnetization (μB per cell): 0.00
ΔE_f (eV/f.u.): -0.09
Energy (eV/cell): -12.82

***

ZnCuRh14 after structural relaxation. Source: the Alexandria database, functional PBE-GGA.

a b c (Å): 5.428 5.428 7.682
angles (deg): 90.00 90.00 90.00
Fractional coordinates of all 16 atoms:
Zn (0.000, 0.000, 0.000)
Cu (0.500, 0.500, 0.000)
Rh (0.000, 0.000, 0.500)
Rh (0.000, 0.500, 0.000)
Rh (0.000, 0.500, 0.500)
Rh (0.251, 0.251, 0.252)
Rh (0.251, 0.251, 0.748)
Rh (0.251, 0.749, 0.252)
Rh (0.251, 0.749, 0.748)
Rh (0.500, 0.000, 0.000)
Rh (0.500, 0.000, 0.500)
Rh (0.500, 0.500, 0.500)
Rh (0.749, 0.251, 0.252)
Rh (0.749, 0.251, 0.748)
Rh (0.749, 0.749, 0.252)
Rh (0.749, 0.749, 0.748)

Computed properties:
Space-group type: P4/mmm
Spin magnetization (μB per cell): 0.00
ΔE_f (eV/f.u.): -0.12
Energy (eV/cell): -108.41

***

ZnCuRh after structural relaxation. Source: the Alexandria database, functional PBE-GGA.

a b c (Å): 4.031 4.031 4.031
angles (deg): 60.00 60.00 60.00
Fractional coordinates of all 3 atoms:
Zn (0.000, 0.000, 0.000)
Cu (0.250, 0.250, 0.250)
Rh (0.750, 0.750, 0.750)

Computed properties:
Space-group type: F-43m
Spin magnetization (μB per cell): 0.00
ΔE_f (eV/f.u.): 0.45
Energy (eV/cell): -12.27

***

Zn2CuRh2 after structural relaxation. Source: the Alexandria database, functional PBE-GGA.

a b c (Å): 6.699 6.699 3.186
angles (deg): 90.00 90.00 90.00
Fractional coordinates of all 10 atoms:
Zn (0.136, 0.364, 0.000)
Zn (0.364, 0.864, 0.000)
Zn (0.636, 0.136, 0.000)
Zn (0.864, 0.636, 0.000)
Cu (0.000, 0.000, 0.000)
Cu (0.500, 0.500, 0.000)
Rh (0.163, 0.663, 0.500)
Rh (0.337, 0.163, 0.500)
Rh (0.663, 0.837, 0.500)
Rh (0.837, 0.337, 0.500)

Computed properties:
Space-group type: P4/mbm
Spin magnetization (μB per cell): 0.00
ΔE_f (eV/f.u.): -0.56
Energy (eV/cell): -43.81

***

ZrCu2Rh after structural relaxation. Source: the Alexandria database, functional PBE-GGA.

a b c (Å): 4.818 4.818 4.818
angles (deg): 132.31 132.31 69.74
Fractional coordinates of all 4 atoms:
Zr (0.000, 0.000, 0.000)
Cu (0.500, 0.500, 0.000)
Cu (0.750, 0.250, 0.500)
Rh (0.250, 0.750, 0.500)

Computed properties:
Space-group type: I-4m2
Spin magnetization (μB per cell): 0.00
ΔE_f (eV/f.u.): -1.45
Energy (eV/cell): -25.54

***

Zr2CuRh4 after structural relaxation. Source: the Alexandria database, functional PBE-GGA.

a b c (Å): 9.102 9.102 9.102
angles (deg): 156.22 156.22 33.88
Fractional coordinates of all 7 atoms:
Zr (0.105, 0.105, 0.000)
Zr (0.895, 0.895, 0.000)
Cu (0.500, 0.500, 0.000)
Rh (0.250, 0.750, 0.500)
Rh (0.359, 0.359, 0.000)
Rh (0.641, 0.641, 0.000)
Rh (0.750, 0.250, 0.500)

Computed properties:
Space-group type: I4/mmm
Spin magnetization (μB per cell): 0.00
ΔE_f (eV/f.u.): -1.85
Energy (eV/cell): -52.45

***

Zr6CuRh3 after structural relaxation. Source: the Alexandria database, functional PBE-GGA.

a b c (Å): 8.187 4.719 10.637
angles (deg): 90.00 109.87 90.00
Fractional coordinates of all 20 atoms:
Zr (0.002, 0.250, 0.392)
Zr (0.156, 0.750, 0.190)
Zr (0.260, 0.250, 0.013)
Zr (0.345, 0.750, 0.828)
Zr (0.352, 0.250, 0.627)
Zr (0.397, 0.250, 0.358)
Zr (0.603, 0.750, 0.642)
Zr (0.648, 0.750, 0.373)
Zr (0.655, 0.250, 0.172)
Zr (0.740, 0.750, 0.987)
Zr (0.844, 0.250, 0.810)
Zr (0.998, 0.750, 0.608)
Cu (0.440, 0.750, 0.113)
Cu (0.560, 0.250, 0.887)
Rh (0.035, 0.750, 0.907)
Rh (0.120, 0.250, 0.739)
Rh (0.274, 0.750, 0.467)
Rh (0.726, 0.250, 0.533)
Rh (0.880, 0.750, 0.261)
Rh (0.965, 0.250, 0.093)

Computed properties:
Space-group type: P2_1/m
Spin magnetization (μB per cell): 0.00
ΔE_f (eV/f.u.): -4.26
Energy (eV/cell): -163.41

***

Zr3CuRh after structural relaxation. Source: the Alexandria database, functional PBE-GGA.

a b c (Å): 5.005 5.005 5.005
angles (deg): 90.00 90.00 90.00
Fractional coordinates of all 5 atoms:
Zr (0.000, 0.000, 0.500)
Zr (0.000, 0.500, 0.000)
Zr (0.500, 0.000, 0.000)
Cu (0.500, 0.500, 0.500)
Rh (0.000, 0.000, 0.000)

Computed properties:
Space-group type: Pm-3m
Spin magnetization (μB per cell): 0.00
ΔE_f (eV/f.u.): 2.39
Energy (eV/cell): -34.70

***

ZrCu2Rh after structural relaxation. Source: the Alexandria database, functional PBE-GGA.

a b c (Å): 2.940 3.928 5.217
angles (deg): 90.00 90.00 90.00
Fractional coordinates of all 4 atoms:
Zr (0.000, 0.000, 0.000)
Cu (0.500, 0.500, 0.266)
Cu (0.500, 0.500, 0.734)
Rh (0.000, 0.000, 0.500)

Computed properties:
Space-group type: Pmmm
Spin magnetization (μB per cell): 0.00
ΔE_f (eV/f.u.): -0.94
Energy (eV/cell): -25.03

***

Zr5Cu4Rh after structural relaxation. Source: the Alexandria database, functional PBE-GGA.

a b c (Å): 3.305 3.305 16.201
angles (deg): 90.00 90.00 90.00
Fractional coordinates of all 10 atoms:
Zr (0.000, 0.000, 0.000)
Zr (0.000, 0.000, 0.201)
Zr (0.000, 0.000, 0.400)
Zr (0.000, 0.000, 0.600)
Zr (0.000, 0.000, 0.799)
Cu (0.500, 0.500, 0.100)
Cu (0.500, 0.500, 0.299)
Cu (0.500, 0.500, 0.701)
Cu (0.500, 0.500, 0.900)
Rh (0.500, 0.500, 0.500)

Computed properties:
Space-group type: P4/mmm
Spin magnetization (μB per cell): 0.90
ΔE_f (eV/f.u.): -2.41
Energy (eV/cell): -68.89

***

ZrCuRh after structural relaxation. Source: the Alexandria database, functional PBE-GGA.

a b c (Å): 4.350 4.350 3.011
angles (deg): 90.00 90.00 120.00
Fractional coordinates of all 3 atoms:
Zr (0.000, 0.000, 0.000)
Cu (0.667, 0.333, 0.497)
Rh (0.333, 0.667, 0.506)

Computed properties:
Space-group type: P3m1
Spin magnetization (μB per cell): 0.00
ΔE_f (eV/f.u.): -1.08
Energy (eV/cell): -21.08

***

Zr6Cu5Rh after structural relaxation. Source: the Alexandria database, functional PBE-GGA.

a b c (Å): 4.634 6.580 7.315
angles (deg): 90.00 108.04 90.00
Fractional coordinates of all 12 atoms:
Zr (0.000, 0.250, 0.000)
Zr (0.000, 0.750, 0.000)
Zr (0.336, 0.249, 0.669)
Zr (0.336, 0.751, 0.669)
Zr (0.664, 0.249, 0.331)
Zr (0.664, 0.751, 0.331)
Cu (0.164, 0.000, 0.332)
Cu (0.171, 0.500, 0.347)
Cu (0.500, 0.000, 0.000)
Cu (0.829, 0.500, 0.653)
Cu (0.836, 0.000, 0.668)
Rh (0.500, 0.500, 0.000)

Computed properties:
Space-group type: P2/m
Spin magnetization (μB per cell): 0.00
ΔE_f (eV/f.u.): -2.74
Energy (eV/cell): -81.86

***

ΔE_f of number 2 (ZnCuRh14)? -0.12 eV/f.u.

***

Which of these has the lowest ΔE_f? Zr6CuRh3

***

Which value of energy does entry 11 give? -21.08 eV/cell